[1]
SrSbPd2 | GGA-PBEsol | optimized geometry

Values from the calculation:
Raw formation energy: -470 meV per atom

Unit cell a=9.494 b=9.494 c=9.494 alpha=149.27 beta=149.27 gamma=44.02
Positions (direct):
Sr 0.000 0.000 0.000
Sr 0.750 0.250 0.500
Sb 0.250 0.750 0.500
Sb 0.500 0.500 0.000
Pd 0.323 0.625 0.198
Pd 0.375 0.573 0.698
Pd 0.427 0.125 0.802
Pd 0.875 0.677 0.302



[2]
Te2MoH | GGA-PBEsol | optimized geometry

Values from the calculation:
Calculated total energy: -4.56 eV/atom

Unit cell a=8.693 b=8.693 c=8.693 alpha=20.70 beta=20.70 gamma=20.70
Positions (direct):
Te 0.104 0.104 0.104
Te 0.896 0.896 0.896
Mo 0.000 0.000 0.000
H 0.500 0.500 0.500



[3]
LaYN3 | GGA-PBEsol | optimized geometry

Values from the calculation:
Raw formation energy: 133 meV per atom

Unit cell a=4.273 b=4.273 c=4.273 alpha=90.00 beta=90.00 gamma=90.00
Positions (direct):
La 0.000 0.000 0.000
Y 0.500 0.500 0.500
N 0.000 0.000 0.500
N 0.000 0.500 0.000
N 0.500 0.000 0.000



[4]
IrRhW2 | GGA-PBEsol | optimized geometry

Values from the calculation:
Formation energy from the elements: -0.24 eV/atom

Unit cell a=2.736 b=3.888 c=5.479 alpha=90.00 beta=90.00 gamma=90.00
Positions (direct):
Ir 0.000 0.000 0.000
Rh 0.000 0.000 0.500
W 0.500 0.500 0.250
W 0.500 0.500 0.750



[5]
PIr2Os | GGA-PBEsol | optimized geometry

Values from the calculation:
Formation energy from the elements: -0.01 eV/atom

Unit cell a=8.306 b=8.306 c=8.306 alpha=19.17 beta=19.17 gamma=19.17
Positions (direct):
P 0.000 0.000 0.000
Ir 0.258 0.258 0.258
Ir 0.742 0.742 0.742
Os 0.500 0.500 0.500



[6]
KCdIr2 | GGA-PBEsol | optimized geometry

Values from the calculation:
Formation energy from the elements: 0.37 eV/atom

Unit cell a=2.819 b=2.819 c=9.596 alpha=90.00 beta=90.00 gamma=90.00
Positions (direct):
K 0.000 0.000 0.000
Cd 0.500 0.500 0.324
Ir 0.000 0.000 0.549
Ir 0.500 0.500 0.723



[7]
ZnSnAs2 | GGA-PBEsol | optimized geometry

Values from the calculation:
Formation energy from the elements: -0.15 eV/atom

Unit cell a=7.173 b=7.173 c=7.173 alpha=131.94 beta=131.94 gamma=70.32
Positions (direct):
Zn 0.000 0.000 0.000
Zn 0.750 0.250 0.500
Sn 0.250 0.750 0.500
Sn 0.500 0.500 0.000
As 0.099 0.625 0.974
As 0.375 0.349 0.474
As 0.651 0.125 0.026
As 0.875 0.901 0.526



[8]
SrNi2Te | GGA-PBEsol | optimized geometry

Values from the calculation:
Raw formation energy: -376 meV per atom

Unit cell a=5.687 b=5.687 c=5.687 alpha=44.35 beta=44.35 gamma=44.35
Positions (direct):
Sr 0.000 0.000 0.000
Ni 0.192 0.192 0.192
Ni 0.808 0.808 0.808
Te 0.500 0.500 0.500



[9]
Ta2NiOs | GGA-PBEsol | optimized geometry

Values from the calculation:
Formation energy from the elements: 0.07 eV/atom

Unit cell a=2.727 b=2.727 c=8.050 alpha=90.00 beta=90.00 gamma=90.00
Positions (direct):
Ta 0.000 0.000 0.000
Ta 0.500 0.500 0.289
Ni 0.000 0.000 0.530
Os 0.500 0.500 0.737



[10]
OsRh2Br | GGA-PBEsol | optimized geometry

Values from the calculation:
Raw formation energy: 459 meV per atom

Unit cell a=8.841 b=8.841 c=8.841 alpha=18.32 beta=18.32 gamma=18.32
Positions (direct):
Os 0.000 0.000 0.000
Rh 0.253 0.253 0.253
Rh 0.747 0.747 0.747
Br 0.500 0.500 0.500



[11]
La2InW | GGA-PBEsol | optimized geometry

Values from the calculation:
Formation energy from the elements: 0.57 eV/atom

Unit cell a=5.616 b=3.043 c=5.974 alpha=90.00 beta=112.18 gamma=90.00
Positions (direct):
La 0.000 0.000 0.000
La 0.500 0.500 0.000
In 0.000 0.500 0.500
W 0.500 0.000 0.500



[12]
BaBiClO2 | GGA-PBEsol | optimized geometry

Values from the calculation:
Raw formation energy: -2017 meV per atom

Unit cell a=7.090 b=7.090 c=5.703 alpha=90.00 beta=90.00 gamma=130.90
Positions (direct):
Ba 0.120 0.880 0.750
Ba 0.880 0.120 0.250
Bi 0.423 0.577 0.750
Bi 0.577 0.423 0.250
Cl 0.246 0.754 0.250
Cl 0.754 0.246 0.750
O 0.272 0.272 0.000
O 0.272 0.272 0.500
O 0.728 0.728 0.000
O 0.728 0.728 0.500



Q: Which calculated volume values were calculated for the entries above? A: 222.8, 71.9, 78.0, 58.3, 54.0, 76.3, 200.1, 81.7, 59.9, 59.6, 94.5, 216.7, in Å³/cell.
Q: Which ρ values were calculated for the entries above? A: 6.29, 8.14, 5.74, 18.88, 18.62, 11.67, 5.54, 6.76, 16.95, 13.26, 10.13, 6.34, in Mg/m³.